[1]
! Nb2CrBiRu (SCAN, single point on PBEsol structure); values from VASP
! E_tot: -194.205 eV for the cell shown
! space group: P4/mmm (123)
! spin magnetization: 2.3 μB per formula unit
! V: 106 Å³/cell
! calculated formation energy: 769.0 meV per atom
&SYSTEM
  ibrav = 0, nat = 5, ntyp = 4
/
ATOMIC_SPECIES
Bi 208.98 Bi.upf
Ru 101.07 Ru.upf
Cr 52.00 Cr.upf
Nb 92.91 Nb.upf
ATOMIC_POSITIONS angstrom
Bi 2.289 2.401 2.401
Ru 0.000 0.000 0.000
Cr 2.289 0.000 0.000
Nb 0.000 0.000 2.401
Nb 0.000 2.401 0.000
CELL_PARAMETERS angstrom
4.577 0.000 0.000
0.000 4.803 0.000
0.000 0.000 4.803

[2]
! CrTc (SCAN, single point on PBEsol structure); values from VASP
! E_tot: -106.788 eV for the cell shown
! space group: P4/nmm (129)
! spin magnetization: 0.0 μB per formula unit
! V: 50 Å³/cell
! calculated formation energy: 25.2 meV per atom
&SYSTEM
  ibrav = 0, nat = 4, ntyp = 2
/
ATOMIC_SPECIES
Tc 98.00 Tc.upf
Cr 52.00 Cr.upf
ATOMIC_POSITIONS angstrom
Tc 1.939 0.515 3.665
Tc -0.069 -0.778 2.526
Cr 0.221 1.234 0.922
Cr 1.649 -1.497 5.268
CELL_PARAMETERS angstrom
-0.190 2.733 0.836
-2.442 -0.590 1.375
3.186 -1.334 5.085

[3]
! K2YPb (SCAN, single point on PBEsol structure); values from VASP
! E_tot: -121.033 eV for the cell shown
! space group: Pm (6)
! spin magnetization: 0.2 μB per formula unit
! V: 175 Å³/cell
! calculated formation energy: -187.9 meV per atom
&SYSTEM
  ibrav = 0, nat = 4, ntyp = 3
/
ATOMIC_SPECIES
Pb 207.20 Pb.upf
K 39.10 K.upf
Y 88.91 Y.upf
ATOMIC_POSITIONS angstrom
Pb 1.651 5.412 3.924
K 2.764 1.832 2.781
K 3.602 8.729 4.147
Y 4.559 4.855 2.948
CELL_PARAMETERS angstrom
-1.250 0.495 3.612
3.615 -2.231 1.557
5.084 8.630 0.563

[4]
! Sb2IrRu (SCAN, single point on PBEsol structure); values from VASP
! E_tot: -179.883 eV for the cell shown
! space group: Cm (8)
! spin magnetization: 0.0 μB per formula unit
! E_form (uncorrected): 13.6 kJ per mole of atoms
! V: 71 Å³/cell
! E above lowest polymorph: 2.56 kcal/mol of atoms
&SYSTEM
  ibrav = 0, nat = 4, ntyp = 3
/
ATOMIC_SPECIES
Sb 121.76 Sb.upf
Ru 101.07 Ru.upf
Ir 192.22 Ir.upf
ATOMIC_POSITIONS angstrom
Sb -0.135 -0.124 0.312
Sb -1.340 1.097 2.955
Ru -2.071 1.767 0.331
Ir -2.523 -0.886 1.506
CELL_PARAMETERS angstrom
-3.136 -0.081 -1.392
-1.621 -1.786 3.757
1.066 4.655 1.556

[5]
! Sr2ScTc (SCAN, single point on PBEsol structure); values from VASP
! E_tot: -92.676 eV for the cell shown
! space group: P4mm (99)
! spin magnetization: 0.6 μB per formula unit
! V: 117 Å³/cell
! calculated formation energy: 292.8 meV per atom
! E above lowest polymorph: 0.00 kcal/mol of atoms
&SYSTEM
  ibrav = 0, nat = 4, ntyp = 3
/
ATOMIC_SPECIES
Sr 87.62 Sr.upf
Tc 98.00 Tc.upf
Sc 44.96 Sc.upf
ATOMIC_POSITIONS angstrom
Sr 1.793 1.793 2.956
Sr 0.000 0.000 8.551
Tc 0.000 0.000 5.128
Sc 1.793 1.793 6.102
CELL_PARAMETERS angstrom
3.586 0.000 0.000
0.000 3.586 0.000
0.000 0.000 9.095

[6]
! Li2MgTl (SCAN, single point on PBEsol structure); values from VASP
! E_tot: -83.185 eV for the cell shown
! space group: P4/mmm (123)
! spin magnetization: 0.0 μB per formula unit
! V: 76 Å³/cell
! calculated formation energy: -268.3 meV per atom
&SYSTEM
  ibrav = 0, nat = 4, ntyp = 3
/
ATOMIC_SPECIES
Li 6.94 Li.upf
Mg 24.30 Mg.upf
Tl 204.38 Tl.upf
ATOMIC_POSITIONS angstrom
Li -0.274 -0.275 2.270
Li -2.287 0.076 -0.267
Mg -2.594 -1.978 1.784
Tl -0.033 -1.779 -0.220
CELL_PARAMETERS angstrom
-0.067 -3.557 -0.439
-0.549 -0.551 4.541
-4.573 0.152 -0.534

[7]
! ZrTl2C (SCAN, single point on PBEsol structure); values from VASP
! E_tot: -179.609 eV for the cell shown
! space group: Fm-3m (225)
! spin magnetization: 0.0 μB per formula unit
! V: 80 Å³/cell
! calculated formation energy: 1476.5 meV per atom
&SYSTEM
  ibrav = 0, nat = 4, ntyp = 3
/
ATOMIC_SPECIES
Zr 91.22 Zr.upf
Tl 204.38 Tl.upf
C 12.01 C.upf
ATOMIC_POSITIONS angstrom
Zr 4.840 2.795 1.976
Tl 2.420 1.397 0.988
Tl 7.261 4.192 2.964
C 0.000 0.000 0.000
CELL_PARAMETERS angstrom
4.840 0.000 0.000
2.420 4.192 0.000
2.420 1.397 3.952

[8]
! ZrV3H (SCAN, single point on PBEsol structure); values from VASP
! E_tot: -85.641 eV for the cell shown
! space group: Pm-3m (221)
! spin magnetization: 0.0 μB per formula unit
! V: 63 Å³/cell
&SYSTEM
  ibrav = 0, nat = 5, ntyp = 3
/
ATOMIC_SPECIES
V 50.94 V.upf
Zr 91.22 Zr.upf
H 1.01 H.upf
ATOMIC_POSITIONS angstrom
V -1.195 1.543 0.399
V -0.106 -0.574 1.905
V -1.591 -1.122 -0.427
Zr -2.892 -0.153 1.877
H 0.000 0.000 0.000
CELL_PARAMETERS angstrom
-2.391 3.087 0.798
-3.181 -2.243 -0.853
-0.212 -1.149 3.810